# PBE RbZrAgW2, relaxed
data_RbZrAgW2
_space_group_name_H-M_alt 'P 4/m m m'
_space_group_IT_number 123
_space_group_name_Hall '-P 4 2'
_cell_length_a 4.802
_cell_length_b 4.802
_cell_length_c 5.045
_cell_angle_alpha 90.00
_cell_angle_beta 90.00
_cell_angle_gamma 90.00
loop_
_atom_site_label
_atom_site_type_symbol
_atom_site_fract_x
_atom_site_fract_y
_atom_site_fract_z
_atom_site_occupancy
Rb1 Rb 0.000 0.000 0.000 1
Zr1 Zr 0.500 0.500 0.500 1
Ag1 Ag 0.000 0.000 0.500 1
W1 W 0.000 0.500 0.000 1
# * DFT formation energy: 3.11 eV/atom
# * density: 9.3 g/cm3

# PBE CuPb2W, relaxed
data_CuPb2W
_space_group_name_H-M_alt 'I 4/m m m'
_space_group_IT_number 139
_space_group_name_Hall '-I 4 2'
_cell_length_a 4.411
_cell_length_b 4.411
_cell_length_c 8.422
_cell_angle_alpha 90.00
_cell_angle_beta 90.00
_cell_angle_gamma 90.00
loop_
_atom_site_label
_atom_site_type_symbol
_atom_site_fract_x
_atom_site_fract_y
_atom_site_fract_z
_atom_site_occupancy
Cu1 Cu 0.000 0.000 0.000 1
Pb1 Pb 0.000 0.500 0.250 1
W1 W 0.000 0.000 0.500 1
# * DFT formation energy: 0.97 eV/atom
# * E above lowest polymorph: 427 meV/atom
# * density: 13.4 g/cm3

# PBE K5H8Au, relaxed
data_K5H8Au
_space_group_name_H-M_alt 'I -4'
_space_group_IT_number 82
_cell_length_a 8.003
_cell_length_b 8.003
_cell_length_c 8.726
_cell_angle_alpha 90.00
_cell_angle_beta 90.00
_cell_angle_gamma 90.00
loop_
_space_group_symop_operation_xyz
'x,y,z'
'y,-x,-z'
'-x,-y,z'
'-y,x,-z'
'x+1/2,y+1/2,z+1/2'
'y+1/2,-x+1/2,-z+1/2'
'-x+1/2,-y+1/2,z+1/2'
'-y+1/2,x+1/2,-z+1/2'
loop_
_atom_site_label
_atom_site_type_symbol
_atom_site_fract_x
_atom_site_fract_y
_atom_site_fract_z
_atom_site_occupancy
K1 K 0.000 0.000 0.000 1
K2 K 0.134 0.295 0.593 1
H1 H 0.016 0.294 0.251 1
H2 H 0.116 0.297 0.898 1
Au1 Au 0.000 0.500 0.250 1
# * VASP energy: -74.12 eV per cell
# * density: 2.4 g/cm3

# PBE CsRbGeS, relaxed
data_CsRbGeS
_space_group_name_H-M_alt 'P 1 m 1'
_space_group_IT_number 6
_cell_length_a 5.925
_cell_length_b 4.119
_cell_length_c 6.126
_cell_angle_alpha 90.00
_cell_angle_beta 104.16
_cell_angle_gamma 90.00
loop_
_space_group_symop_operation_xyz
'x,y,z'
'x,-y,z'
loop_
_atom_site_label
_atom_site_type_symbol
_atom_site_fract_x
_atom_site_fract_y
_atom_site_fract_z
_atom_site_occupancy
Cs1 Cs 0.000 0.000 0.000 1
Rb1 Rb 0.413 0.000 0.568 1
Ge1 Ge 0.854 0.500 0.450 1
S1 S 0.549 0.500 0.146 1
# * E above lowest polymorph: 44 meV/atom
# * density: 3.7 g/cm3

# PBE Tb3SmTh, relaxed
data_Tb3SmTh
_space_group_name_H-M_alt 'C 1 2/m 1'
_space_group_IT_number 12
_cell_length_a 18.373
_cell_length_b 3.493
_cell_length_c 11.365
_cell_angle_alpha 90.00
_cell_angle_beta 90.71
_cell_angle_gamma 90.00
loop_
_space_group_symop_operation_xyz
'x,y,z'
'-x,-y,-z'
'-x,y,-z'
'x,-y,z'
'x+1/2,y+1/2,z'
'-x+1/2,-y+1/2,-z'
'-x+1/2,y+1/2,-z'
'x+1/2,-y+1/2,z'
loop_
_atom_site_label
_atom_site_type_symbol
_atom_site_fract_x
_atom_site_fract_y
_atom_site_fract_z
_atom_site_occupancy
Tb1 Tb 0.150 0.000 0.298 1
Tb2 Tb 0.197 0.000 0.592 1
Tb3 Tb 0.218 0.000 0.882 1
Sm1 Sm 0.037 0.000 0.785 1
Th1 Th 0.090 0.500 0.047 1
# * DFT formation energy: 0.25 eV/atom
# * E above lowest polymorph: 65 meV/atom
# * density: 7.8 g/cm3

# PBE FeHg2Rh, relaxed
data_FeHg2Rh
_space_group_name_H-M_alt 'R 3 m'
_space_group_IT_number 160
_space_group_name_Hall 'R 3 -2"'
_cell_length_a 3.0352
_cell_length_b 3.0352
_cell_length_c 28.0577
_cell_angle_alpha 90.00
_cell_angle_beta 90.00
_cell_angle_gamma 120.00
loop_
_atom_site_label
_atom_site_type_symbol
_atom_site_fract_x
_atom_site_fract_y
_atom_site_fract_z
_atom_site_occupancy
Fe1 Fe 0.0000 0.0000 0.0000 1
Hg1 Hg 0.0000 0.0000 0.5194 1
Hg2 Hg 0.0000 0.0000 0.7481 1
Rh1 Rh 0.0000 0.0000 0.2712 1
# * DFT formation energy: 0.27 eV/atom
# * E above lowest polymorph: 98 meV/atom
# * density: 12.5 g/cm3

What is the formula in the second record? CuPb2W

density of number 4 (CsRbGeS)? 3.7 g/cm3

The highest density belongs to which entry? CuPb2W

What is the formula in the sixth record? FeHg2Rh